(1)
HgW: relaxed, GGA-PBE.

Properties
- Formation energy from the elements: 841 meV per atom
- ΔE to the lowest computed polymorph: 336.6 meV/atom
- Space group: Pmma, No. 51

a = 4.815 Å, b = 2.868 Å, c = 5.287 Å
α = 90.00°, β = 90.00°, γ = 90.00°
Positions (direct):
Hg1 0.250 0.000 0.145
Hg2 0.750 0.000 0.855
W1 0.250 0.500 0.626
W2 0.750 0.500 0.374

(2)
CsBS2: relaxed, GGA-PBE.

Properties
- Formation energy from raw total energies: -18.95 kcal/mol of atoms
- ΔE to the lowest computed polymorph: 65.8 meV/atom
- Space group: P1, No. 1

a = 4.965 Å, b = 5.765 Å, c = 5.766 Å
α = 104.24°, β = 90.08°, γ = 90.07°
Positions (direct):
Cs1 0.000 0.000 0.000
B1 0.500 0.712 0.289
S1 0.498 0.961 0.513
S2 0.502 0.488 0.041

(3)
Ce2GeBRh6: relaxed, GGA-PBE.

Properties
- Formation energy from the elements: -677 meV per atom
- Space group: Pmmn, No. 59

a = 5.681 Å, b = 8.491 Å, c = 7.108 Å
α = 90.00°, β = 90.00°, γ = 90.00°
Positions (direct):
Ce1 0.250 0.023 0.228
Ce2 0.250 0.477 0.228
Ce3 0.750 0.523 0.772
Ce4 0.750 0.977 0.772
Ge1 0.250 0.750 0.823
Ge2 0.750 0.250 0.177
B1 0.250 0.250 0.686
B2 0.750 0.750 0.314
Rh1 0.001 0.250 0.899
Rh2 0.009 0.750 0.517
Rh3 0.250 0.007 0.654
Rh4 0.250 0.493 0.654
Rh5 0.491 0.750 0.517
Rh6 0.499 0.250 0.899
Rh7 0.501 0.750 0.101
Rh8 0.509 0.250 0.483
Rh9 0.750 0.507 0.346
Rh10 0.750 0.993 0.346
Rh11 0.991 0.250 0.483
Rh12 0.999 0.750 0.101

(4)
PrSm2Ga2Ag2: relaxed, GGA-PBE.

Properties
- Formation energy from the elements: -377 meV per atom
- Space group: R-3m, No. 166

a = 9.547 Å, b = 9.547 Å, c = 9.547 Å
α = 28.43°, β = 28.43°, γ = 28.43°
Positions (direct):
Pr1 0.000 0.000 0.000
Sm1 0.126 0.126 0.126
Sm2 0.874 0.874 0.874
Ga1 0.258 0.258 0.258
Ga2 0.742 0.742 0.742
Ag1 0.402 0.402 0.402
Ag2 0.598 0.598 0.598

Repeat the second record exactly.
CsBS2: relaxed, GGA-PBE.

Properties
- Formation energy from raw total energies: -18.95 kcal/mol of atoms
- ΔE to the lowest computed polymorph: 65.8 meV/atom
- Space group: P1, No. 1

a = 4.965 Å, b = 5.765 Å, c = 5.766 Å
α = 104.24°, β = 90.08°, γ = 90.07°
Positions (direct):
Cs1 0.000 0.000 0.000
B1 0.500 0.712 0.289
S1 0.498 0.961 0.513
S2 0.502 0.488 0.041